Entry from Alexandria via LeMat-Bulk: a geometry-optimized TlAu structure (PBEsol).

extended XYZ file:
```
4
Lattice="-1.6666 2.5440 5.1869 1.6666 -2.5440 5.1869 1.6666 2.5440 -5.1869" Properties=species:S:1:pos:R:3 pbc="T T T"
Tl 0.0000 1.2720 1.0856
Tl 1.6666 1.2720 4.1012
Au 1.6666 1.2720 -1.4806
Au 0.0000 1.2720 6.6674
```

Crystal system: orthorhombic
Symmetry: No. 74
Energy relative to the elements, kcal/mol of atoms: 1.48

Entry from Alexandria via LeMat-Bulk: a geometry-optimized KNiP3O9 structure (PBEsol).

extended XYZ file:
```
14
Lattice="5.0200 2.8983 2.3226 -5.0200 2.8983 2.3226 0.0000 -5.7966 2.3226" Properties=species:S:1:pos:R:3 pbc="T T T"
K 0.0000 0.0000 0.0000
Ni 0.0000 0.0000 3.5412
P -2.9179 0.9227 4.4726
P 0.6598 -2.9883 4.4726
P 2.2580 2.0656 4.4726
O -3.2739 0.4771 2.9699
O -1.2875 -1.0107 2.3351
O 1.2238 -3.0738 2.9699
O -0.2315 1.6203 2.3351
O 1.5190 -0.6096 2.3351
O -1.4707 0.6842 4.7707
O 0.1428 -1.6158 4.7707
O 2.0501 2.5967 2.9699
O 1.3279 0.9316 4.7707
```

Crystal system: trigonal
Symmetry: No. 146
Formation energy (no corrections), eV/f.u.: -28.10

Entry from Alexandria via LeMat-Bulk: a geometry-optimized Ta2AlPt structure (PBEsol).

extended XYZ file:
```
4
Lattice="2.7558 -4.1797 0.0000 2.7558 4.1797 0.0000 0.0000 0.0000 2.7944" Properties=species:S:1:pos:R:3 pbc="T T T"
Ta 1.3779 2.0898 0.0000
Ta 1.3779 -2.0898 0.0000
Al 0.0000 0.0000 1.3972
Pt 2.7558 0.0000 1.3972
```

Crystal system: orthorhombic
Symmetry: No. 65
Energy relative to the elements, kcal/mol of atoms: -9.62

Entry from Alexandria via LeMat-Bulk: a geometry-optimized MgAs2Au structure (PBEsol).

extended XYZ file:
```
4
Lattice="2.9259 0.0000 0.0000 0.0000 3.9606 0.0000 0.0000 0.0000 6.5001" Properties=species:S:1:pos:R:3 pbc="T T T"
Mg 0.0000 0.0000 0.0000
As 0.0000 0.0000 3.5746
As 1.4629 1.9803 1.2420
Au 1.4629 1.9803 4.8651
```

Crystal system: orthorhombic
Symmetry: No. 25
Energy relative to the elements, kcal/mol of atoms: -1.64

Entry from Alexandria via LeMat-Bulk: a geometry-optimized Ti3ZnTc structure (PBEsol).

extended XYZ file:
```
5
Lattice="4.6322 0.0000 0.0000 0.0000 4.6322 0.0000 0.0000 0.0000 4.6322" Properties=species:S:1:pos:R:3 pbc="T T T"
Ti 0.0000 0.0000 2.3161
Ti 0.0000 2.3161 0.0000
Ti 2.3161 0.0000 0.0000
Zn 2.3161 2.3161 2.3161
Tc 0.0000 0.0000 0.0000
```

Crystal system: cubic
Symmetry: No. 221
Energy relative to the elements, kcal/mol of atoms: 14.35

Entry from Alexandria via LeMat-Bulk: a geometry-optimized Li2La2Si3 structure (PBEsol).

extended XYZ file:
```
14
Lattice="2.2319 -9.3119 0.0000 2.2319 9.3119 0.0000 0.0000 0.0000 6.8335" Properties=species:S:1:pos:R:3 pbc="T T T"
Li 2.2319 5.8209 3.8344
Li 2.2319 5.8209 6.4158
Li 2.2319 -5.8209 0.4177
Li 2.2319 -5.8209 2.9991
La 2.2319 2.9743 5.1251
La 2.2319 0.9585 1.7084
La 2.2319 -0.9585 5.1251
La 2.2319 -2.9743 1.7084
Si 2.2319 8.2464 0.5199
Si 2.2319 8.2464 2.8968
Si 2.2319 4.0950 1.7084
Si 2.2319 -4.0950 5.1251
Si 2.2319 -8.2464 3.9367
Si 2.2319 -8.2464 6.3136
```

Crystal system: orthorhombic
Symmetry: No. 63
Formation energy (no corrections), eV/f.u.: -4.56

Entry from Alexandria via LeMat-Bulk: a geometry-optimized TcTe2N structure (PBEsol).

extended XYZ file:
```
4
Lattice="1.5755 0.9096 8.3398 -1.5755 0.9096 8.3398 0.0000 -1.8192 8.3398" Properties=species:S:1:pos:R:3 pbc="T T T"
Tc 0.0000 0.0000 0.0000
Te 0.0000 0.0000 2.5324
Te 0.0000 0.0000 22.4871
N 0.0000 0.0000 12.5098
```

Crystal system: trigonal
Symmetry: No. 166
Excess energy over the best structure of this formula in the dataset, meV per atom: 517
Formation energy (no corrections), eV/f.u.: 5.10

Entry from Alexandria via LeMat-Bulk: a geometry-optimized LaPW2 structure (PBEsol).

extended XYZ file:
```
4
Lattice="3.3873 0.0000 0.0000 0.0000 4.4667 0.0000 0.0000 0.0000 4.9252" Properties=species:S:1:pos:R:3 pbc="T T T"
La 0.0000 0.0000 0.0000
P 1.6937 2.2334 0.0000
W 0.0000 2.2334 2.4626
W 1.6937 0.0000 2.4626
```

Crystal system: orthorhombic
Symmetry: No. 47
Excess energy over the best structure of this formula in the dataset, meV per atom: 356
Energy relative to the elements, kcal/mol of atoms: 13.47

Entry from Alexandria via LeMat-Bulk: a geometry-optimized Mg2SbPb structure (PBEsol).

extended XYZ file:
```
8
Lattice="0.0000 6.1508 3.3199 5.0631 0.0000 3.3199 5.0631 6.1508 0.0000" Properties=species:S:1:pos:R:3 pbc="T T T"
Mg 5.0685 3.2787 3.3199
Mg 7.5891 6.3540 4.9798
Mg 5.0576 9.0229 3.3199
Mg 7.6001 12.0982 4.9798
Sb 5.0631 6.1508 3.3152
Sb 7.5946 9.2261 4.9751
Pb 5.0631 6.1508 0.0077
Pb 2.5315 3.0754 1.6676
```

Crystal system: orthorhombic
Symmetry: No. 43
Excess energy over the best structure of this formula in the dataset, meV per atom: 56
Formation energy (no corrections), eV/f.u.: -0.35

Entry from Alexandria via LeMat-Bulk: a geometry-optimized NaNiP2 structure (PBEsol).

extended XYZ file:
```
8
Lattice="-2.2939 2.2939 7.3643 2.2939 -2.2939 7.3643 2.2939 2.2939 -7.3643" Properties=species:S:1:pos:R:3 pbc="T T T"
Na 2.2939 1.1470 1.8411
Na 0.0000 1.1470 5.5232
Ni 2.2939 -1.1470 5.5232
Ni 0.0000 3.4409 1.8411
P 0.0000 0.0000 0.0000
P 1.1470 1.1470 -3.6821
P 1.1470 -1.1470 3.6821
P 0.0000 2.2939 0.0000
```

Crystal system: tetragonal
Symmetry: No. 141
Excess energy over the best structure of this formula in the dataset, meV per atom: 0
Energy relative to the elements, kcal/mol of atoms: -3.18

Entry from Alexandria via LeMat-Bulk: a geometry-optimized BaLaBe2 structure (PBEsol).

extended XYZ file:
```
4
Lattice="4.0368 0.0000 0.0000 0.0000 1.8026 7.4964 0.0000 -1.8026 7.4964" Properties=species:S:1:pos:R:3 pbc="T T T"
Ba 0.0000 0.0000 0.0000
La 2.0184 0.0000 10.8704
Be 0.0000 0.0000 4.8059
Be 2.0184 0.0000 5.5511
```

Crystal system: orthorhombic
Symmetry: No. 38
Energy relative to the elements, kcal/mol of atoms: 8.03

Entry from Alexandria via LeMat-Bulk: a geometry-optimized RePPbS2 structure (PBEsol).

extended XYZ file:
```
5
Lattice="4.7164 0.0000 0.0000 0.0000 4.7164 0.0000 0.0000 0.0000 4.5722" Properties=species:S:1:pos:R:3 pbc="T T T"
Re 0.0000 0.0000 0.0000
P 0.0000 0.0000 2.2861
Pb 2.3582 2.3582 2.2861
S 0.0000 2.3582 0.0000
S 2.3582 0.0000 0.0000
```

Crystal system: tetragonal
Symmetry: No. 123
Formation energy (no corrections), eV/f.u.: 1.09